## Li2PaPO6 (PBE)

Data for a relaxed structure of Li2PaPO6.

Lattice parameters (Å, degrees): 5.3366 5.3366 4.4170 90.00 90.00 90.00
With the nearest neighbours (Å) after each atom.
Fractional coordinates of all 10 atoms:
Li 0.0000 0.5000 0.0000  4 O 2.19
Li 0.5000 0.0000 0.0000  4 O 2.19
Pa 0.0000 0.0000 0.6697  6 O 2.11-2.31
P 0.5000 0.5000 0.6449  1 O 1.51
O 0.0000 0.0000 0.1920  2 Pa 2.11-2.31
O 0.2824 0.2824 0.7540  1 P 1.71
O 0.2824 0.7176 0.7540  1 P 1.71
O 0.5000 0.5000 0.3027  1 P 1.51
O 0.7176 0.2824 0.7540  1 P 1.71
O 0.7176 0.7176 0.7540  1 P 1.71

Summary:
Energy relative to the elements, uncorrected in meV per atom: -2445
Magnetization in μB/f.u.: 0.0